VASP calculation (PBE-GGA) on a geometry-optimized TlTeMoAuS2 structure. Values from VASP.

Computed properties:
total DFT energy (no corrections)	-4.78	eV per atom
SG	Cmcm (63)

Structure (Quantum ESPRESSO input):
```
&SYSTEM
  ibrav = 0, nat = 12, ntyp = 5
/
ATOMIC_SPECIES
Au 196.97 Au.upf
Mo 95.94 Mo.upf
S 32.06 S.upf
Te 127.60 Te.upf
Tl 204.38 Tl.upf
ATOMIC_POSITIONS crystal
Au 0.934 0.066 0.250
Au 0.066 0.934 0.750
Mo 0.500 0.500 0.000
Mo 0.500 0.500 0.500
S 0.896 0.104 0.029
S 0.896 0.104 0.471
S 0.104 0.896 0.529
S 0.104 0.896 0.971
Te 0.580 0.420 0.250
Te 0.420 0.580 0.750
Tl 0.269 0.731 0.250
Tl 0.731 0.269 0.750
CELL_PARAMETERS angstrom
1.708 -8.402 0.000
1.708 8.402 0.000
0.000 0.000 10.382
```

VASP calculation (PBE-GGA) on a geometry-optimized Sb2MoAu structure. Values from VASP.

Computed properties:
total DFT energy (no corrections)	-4.94	eV per atom
SG	F-43m (216)

Structure (Quantum ESPRESSO input):
```
&SYSTEM
  ibrav = 0, nat = 4, ntyp = 3
/
ATOMIC_SPECIES
Au 196.97 Au.upf
Mo 95.94 Mo.upf
Sb 121.76 Sb.upf
ATOMIC_POSITIONS crystal
Au 0.500 0.500 0.500
Mo 0.750 0.750 0.750
Sb 0.000 0.000 0.000
Sb 0.250 0.250 0.250
CELL_PARAMETERS angstrom
0.000 3.477 3.477
3.477 0.000 3.477
3.477 3.477 0.000
```

VASP calculation (PBE-GGA) on a geometry-optimized SbMoAu2 structure. Values from VASP.

Computed properties:
total DFT energy (no corrections)	-5.01	eV per atom
SG	F-43m (216)

Structure (Quantum ESPRESSO input):
```
&SYSTEM
  ibrav = 0, nat = 4, ntyp = 3
/
ATOMIC_SPECIES
Au 196.97 Au.upf
Mo 95.94 Mo.upf
Sb 121.76 Sb.upf
ATOMIC_POSITIONS crystal
Au 0.000 0.000 0.000
Au 0.750 0.750 0.750
Mo 0.250 0.250 0.250
Sb 0.500 0.500 0.500
CELL_PARAMETERS angstrom
-3.860 0.362 2.659
-4.000 1.613 -1.870
-3.616 -2.923 -0.696
```

VASP calculation (PBE-GGA) on a geometry-optimized Sb5Mo3Au structure. Values from VASP.

Computed properties:
total DFT energy (no corrections)	-6.07	eV per atom
SG	P6/mmm (191)

Structure (Quantum ESPRESSO input):
```
&SYSTEM
  ibrav = 0, nat = 9, ntyp = 3
/
ATOMIC_SPECIES
Au 196.97 Au.upf
Mo 95.94 Mo.upf
Sb 121.76 Sb.upf
ATOMIC_POSITIONS crystal
Au 0.000 0.000 0.000
Mo 0.500 0.000 0.500
Mo 0.000 0.500 0.500
Mo 0.500 0.500 0.500
Sb 0.667 0.333 0.209
Sb 0.333 0.667 0.209
Sb 0.000 0.000 0.500
Sb 0.667 0.333 0.791
Sb 0.333 0.667 0.791
CELL_PARAMETERS angstrom
5.523 0.000 0.000
-2.762 4.783 0.000
0.000 0.000 8.253
```

> Which of these has the highest total DFT energy (no corrections)?

TlTeMoAuS2